The following is a DFT calculation (PBEsol) of crystalline InSbAu4 at its relaxed geometry.

Computed properties:
- Symmetry: F-43m (216)
- DFT total energy: -3.887 eV per atom
- ρ: 14.3 g/cm³
- Formation energy (no corrections): -8 kJ/mol of formula units
- Magnetic moment: 0.0 μB per formula unit

a b c (Å): 5.521 5.521 5.521
angles (deg): 60.00 60.00 60.00
Atoms (fractional coordinates):
In 0.750 0.750 0.750
Au 0.375 0.875 0.375
Sb 0.000 0.000 0.000
Au 0.375 0.375 0.875
Au 0.375 0.375 0.375
Au 0.875 0.375 0.375



The following is a DFT calculation (PBEsol) of crystalline InSbAu2 at its relaxed geometry.

Computed properties:
- Energy relative to the lowest polymorph listed for this composition: 0.0000 eV/atom
- Symmetry: Pm (6)
- DFT total energy: -3.984 eV per atom
- ρ: 12.3 g/cm³
- Formation energy (no corrections): -53 kJ/mol of formula units
- Magnetic moment: 0.0 μB per formula unit

a b c (Å): 4.043 3.904 5.972
angles (deg): 90.00 115.53 90.00
Atoms (fractional coordinates):
Au 0.836 0.375 0.561
Sb 0.264 0.875 0.459
In 0.487 0.375 0.039
Au 0.913 0.875 0.940



The following is a DFT calculation (PBEsol) of crystalline InSb3Au at its relaxed geometry.

Computed properties:
- Symmetry: Pm-3m (221)
- DFT total energy: -3.024 eV per atom
- ρ: 7.0 g/cm³
- Formation energy (no corrections): 527 kJ/mol of formula units
- Magnetic moment: 0.0 μB per formula unit

a b c (Å): 5.443 5.443 5.443
angles (deg): 90.00 90.00 90.00
Atoms (fractional coordinates):
In 0.000 0.000 0.000
Sb 0.500 0.000 0.000
Sb 0.000 0.500 0.000
Sb 0.000 0.000 0.500
Au 0.500 0.500 0.500



The following is a DFT calculation (PBEsol) of crystalline Sc2InSbAu at its relaxed geometry.

Computed properties:
- Symmetry: P4/mmm (123)
- DFT total energy: -4.859 eV per atom
- ρ: 6.3 g/cm³
- Formation energy (no corrections): 36 kJ/mol of formula units
- Magnetic moment: 0.0 μB per formula unit

a b c (Å): 5.140 5.140 5.207
angles (deg): 90.00 90.00 90.00
Atoms (fractional coordinates):
Sc 0.500 0.000 0.000
Sb 0.000 0.000 0.500
Sc 0.000 0.500 0.000
In 0.500 0.500 0.500
Au 0.000 0.000 0.000



The following is a DFT calculation (PBEsol) of crystalline ZnInSb2Au at its relaxed geometry.

Computed properties:
- Symmetry: P4/mmm (123)
- DFT total energy: -3.188 eV per atom
- ρ: 7.5 g/cm³
- Formation energy (no corrections): 161 kJ/mol of formula units
- Magnetic moment: 0.0 μB per formula unit

a b c (Å): 4.730 5.399 5.399
angles (deg): 90.00 90.00 90.00
Atoms (fractional coordinates):
Zn 0.500 0.000 0.000
Sb 0.000 0.500 0.000
Sb 0.000 0.000 0.500
Au 0.000 0.000 0.000
In 0.500 0.500 0.500



The following is a DFT calculation (PBEsol) of crystalline Sc2InAu at its relaxed geometry.

Computed properties:
- Symmetry: Pmm2 (25)
- DFT total energy: -5.655 eV per atom
- Energy relative to the elements: -2.50 eV/f.u.
- ρ: 8.3 g/cm³
- Magnetic moment: 0.0 μB per formula unit

a b c (Å): 3.419 4.793 4.908
angles (deg): 90.00 90.02 90.00
Atoms (fractional coordinates):
Au 0.375 0.000 0.423
Sc 0.875 0.000 0.899
Sc 0.875 0.500 0.343
In 0.375 0.500 0.835



The following is a DFT calculation (PBEsol) of crystalline ScInAu3 at its relaxed geometry.

Computed properties:
- Symmetry: Pm-3m (221)
- DFT total energy: -3.907 eV per atom
- Energy relative to the elements: 1.83 eV/f.u.
- ρ: 9.5 g/cm³
- Magnetic moment: 0.0 μB per formula unit

a b c (Å): 5.073 5.073 5.073
angles (deg): 90.00 90.00 90.00
Atoms (fractional coordinates):
Au 0.000 0.000 0.500
In 0.500 0.500 0.500
Au 0.000 0.500 0.000
Sc 0.000 0.000 0.000
Au 0.500 0.000 0.000



The following is a DFT calculation (PBEsol) of crystalline Sc2InAu at its relaxed geometry.

Computed properties:
- Symmetry: P4/mmm (123)
- DFT total energy: -5.692 eV per atom
- Energy relative to the elements: -2.65 eV/f.u.
- ρ: 8.2 g/cm³
- Magnetic moment: 0.0 μB per formula unit

a b c (Å): 3.330 3.330 7.312
angles (deg): 90.00 90.00 90.00
Atoms (fractional coordinates):
Sc 0.000 0.000 0.230
Au 0.500 0.500 0.000
Sc 0.000 0.000 0.770
In 0.500 0.500 0.500